# SiIr3Pb

SiIr3Pb at its PBEsol-relaxed geometry (SCAN, Alexandria).

## Properties
- uncorrected formation energy (meV per atom) = 676
- total magnetic moment (Bohr magnetons per cell) = 0.00
- energy relative to the lowest polymorph listed for this composition (meV per atom) = 0
- SG = No. 221
- uncorrected energy (eV/atom) = -59.14
- crystal system = cubic

```
SiIr3Pb
1.0
-1.302 0.627 -4.250
-1.536 -4.215 -0.151
-4.012 1.410 1.437
Pb Si Ir
1 1 3
direct
0.500 0.500 0.500
0.000 0.000 0.000
0.000 0.500 0.000
0.000 0.000 0.500
0.500 0.000 0.000
```


# Na2NbPtN

Na2NbPtN at its PBEsol-relaxed geometry (SCAN, Alexandria).

## Properties
- uncorrected formation energy (meV per atom) = 976
- total magnetic moment (Bohr magnetons per cell) = 2.10
- SG = No. 123
- uncorrected energy (eV/atom) = -23.23
- crystal system = tetragonal

```
Na2NbPtN
1.0
3.818 0.000 0.000
0.000 5.730 0.000
0.000 0.000 5.730
Na Nb Pt N
2 1 1 1
direct
0.000 0.000 0.500
0.000 0.500 0.000
0.000 0.000 0.000
0.500 0.500 0.500
0.500 0.000 0.000
```


# Ti4Bi2O11

Ti4Bi2O11 at its PBEsol-relaxed geometry (SCAN, Alexandria).

## Properties
- uncorrected formation energy (meV per atom) = -2705
- total magnetic moment (Bohr magnetons per cell) = 0.00
- SG = No. 15
- uncorrected energy (eV/atom) = -19.75
- crystal system = monoclinic

```
Ti4Bi2O11
1.0
3.770 0.000 0.000
-1.885 7.345 -0.029
0.000 -0.851 14.881
Ti Bi O
8 4 22
direct
0.601 0.705 0.484
0.804 0.107 0.641
0.304 0.107 0.141
0.399 0.295 0.516
0.196 0.893 0.359
0.896 0.295 0.016
0.104 0.705 0.984
0.696 0.893 0.859
0.587 0.642 0.180
0.945 0.358 0.320
0.055 0.642 0.680
0.413 0.358 0.820
0.476 0.458 0.415
0.524 0.542 0.585
0.332 0.162 0.631
0.891 0.280 0.535
0.197 0.895 0.073
0.564 0.633 0.775
0.756 0.000 0.750
0.931 0.367 0.725
0.611 0.720 0.965
0.698 0.895 0.573
0.668 0.838 0.369
0.069 0.633 0.275
0.169 0.838 0.869
0.982 0.458 0.915
0.436 0.367 0.225
0.803 0.105 0.927
0.302 0.105 0.427
0.018 0.542 0.085
0.244 0.000 0.250
0.831 0.162 0.131
0.389 0.280 0.035
0.109 0.720 0.465
```


# ScAuSe2Br

ScAuSe2Br at its PBEsol-relaxed geometry (SCAN, Alexandria).

## Properties
- uncorrected formation energy (meV per atom) = -313
- total magnetic moment (Bohr magnetons per cell) = 0.00
- SG = No. 123
- uncorrected energy (eV/atom) = -28.91
- crystal system = tetragonal

```
ScAuSe2Br
1.0
5.016 0.000 0.000
0.000 5.108 0.000
0.000 0.000 5.108
Sc Au Se Br
1 1 2 1
direct
0.000 0.000 0.000
0.500 0.500 0.500
0.000 0.000 0.500
0.000 0.500 0.000
0.500 0.000 0.000
```


# TlCuPSe3

TlCuPSe3 at its PBEsol-relaxed geometry (SCAN, Alexandria).

## Properties
- uncorrected formation energy (meV per atom) = -283
- total magnetic moment (Bohr magnetons per cell) = 0.00
- SG = No. 14
- uncorrected energy (eV/atom) = -26.65
- crystal system = monoclinic

```
TlCuPSe3
1.0
7.358 0.048 0.000
-0.115 8.440 0.000
0.000 0.000 9.255
Tl Cu P Se
4 4 4 12
direct
0.486 0.746 0.958
0.514 0.254 0.042
0.986 0.246 0.542
0.014 0.754 0.458
0.810 0.728 0.156
0.310 0.228 0.344
0.690 0.772 0.656
0.190 0.272 0.844
0.994 0.069 0.103
0.006 0.931 0.897
0.494 0.569 0.397
0.506 0.431 0.603
0.749 0.989 0.225
0.980 0.316 0.028
0.520 0.184 0.528
0.257 0.506 0.723
0.243 0.994 0.223
0.020 0.684 0.972
0.251 0.011 0.775
0.751 0.511 0.725
0.743 0.494 0.277
0.757 0.006 0.777
0.249 0.489 0.275
0.480 0.816 0.472
```


# KMgIr

KMgIr at its PBEsol-relaxed geometry (SCAN, Alexandria).

## Properties
- total magnetic moment (Bohr magnetons per cell) = 0.62
- SG = No. 156
- energy of formation from the pure elements (eV/atom) = 0.55
- uncorrected energy (eV/atom) = -27.58
- crystal system = trigonal

```
KMgIr
1.0
-2.446 -1.140 0.572
0.974 -3.717 -3.243
1.340 -0.457 4.824
Ir K Mg
1 1 1
direct
0.060 0.000 0.000
0.653 0.333 0.667
0.287 0.667 0.333
```


# FeCo2

FeCo2 at its PBEsol-relaxed geometry (SCAN, Alexandria).

## Properties
- total magnetic moment (Bohr magnetons per cell) = 13.07
- SG = No. 164
- energy of formation from the pure elements (eV/atom) = -0.13
- uncorrected energy (eV/atom) = -17.71
- crystal system = trigonal

```
FeCo2
1.0
3.931 0.000 0.000
-1.965 3.404 0.000
0.000 0.000 4.832
Co Fe
4 2
direct
0.667 0.333 0.327
0.000 0.000 0.500
0.333 0.667 0.673
0.000 0.000 0.000
0.667 0.333 0.827
0.333 0.667 0.173
```


# TaFe2Te

TaFe2Te at its PBEsol-relaxed geometry (SCAN, Alexandria).

## Properties
- uncorrected formation energy (meV per atom) = 264
- total magnetic moment (Bohr magnetons per cell) = 5.07
- SG = No. 44
- uncorrected energy (eV/atom) = -34.76
- crystal system = orthorhombic

```
TaFe2Te
1.0
-2.609 -2.066 -0.166
2.431 -3.141 0.872
-0.647 3.196 3.834
Fe Ta Te
2 1 1
direct
0.999 0.999 0.998
0.741 0.241 0.481
0.500 0.500 0.001
0.260 0.760 0.520
```


# Eu2CuTe4

Eu2CuTe4 at its PBEsol-relaxed geometry (SCAN, Alexandria).

## Properties
- uncorrected formation energy (meV per atom) = -1113
- total magnetic moment (Bohr magnetons per cell) = 13.53
- SG = No. 115
- uncorrected energy (eV/atom) = -39.92
- crystal system = tetragonal

```
Eu2CuTe4
1.0
-0.963 3.136 2.970
-3.717 0.949 -2.206
-4.777 -6.459 5.271
Eu Cu Te
2 1 4
direct
0.000 0.500 0.261
0.500 0.000 0.739
0.500 0.500 0.500
0.500 0.000 0.357
0.000 0.500 0.643
0.500 0.500 0.000
0.000 0.000 0.000
```


# ZrTe4Mo

ZrTe4Mo at its PBEsol-relaxed geometry (SCAN, Alexandria).

## Properties
- uncorrected formation energy (meV per atom) = 1052
- total magnetic moment (Bohr magnetons per cell) = 2.92
- SG = No. 216
- uncorrected energy (eV/atom) = -34.71
- crystal system = cubic

```
ZrTe4Mo
1.0
6.006 0.000 0.000
3.003 5.201 0.000
3.003 1.734 4.904
Mo Te Zr
1 4 1
direct
0.000 0.000 0.000
0.375 0.375 0.375
0.375 0.375 0.876
0.876 0.375 0.375
0.375 0.876 0.375
0.750 0.750 0.750
```


# CaMgAl

CaMgAl at its PBEsol-relaxed geometry (SCAN, Alexandria).

## Properties
- total magnetic moment (Bohr magnetons per cell) = 0.00
- SG = No. 187
- energy of formation from the pure elements (eV/atom) = -0.15
- uncorrected energy (eV/atom) = -7.61
- crystal system = hexagonal

```
CaMgAl
1.0
3.502 0.000 0.000
0.000 4.934 0.000
0.000 -2.467 4.273
Mg Ca Al
1 1 1
direct
0.500 0.667 0.333
0.000 0.333 0.667
0.500 0.000 0.000
```


# MnTeAu2

MnTeAu2 at its PBEsol-relaxed geometry (SCAN, Alexandria).

## Properties
- uncorrected formation energy (meV per atom) = 21
- total magnetic moment (Bohr magnetons per cell) = 4.66
- SG = No. 216
- uncorrected energy (eV/atom) = -48.43
- crystal system = cubic

```
MnTeAu2
1.0
4.734 0.000 0.000
2.367 4.100 0.000
2.367 1.367 3.866
Au Mn Te
2 1 1
direct
0.000 0.000 0.000
0.750 0.750 0.750
0.500 0.500 0.500
0.250 0.250 0.250
```


no.,DOS(E_F) (states/eV/f.u.)
1,5.001
2,3.736
3,0.000
4,4.354
5,0.000
6,1.693
7,2.285
8,3.543
9,12.389
10,5.504
11,1.292
12,1.891